Material: Pa2Te4H
Method: DFT, GGA-PBE
State: relaxed

- Total DFT energy (no corrections): -5.481 eV/atom

a b c (Å): 8.731 8.733 8.733
angles (deg): 121.57 122.43 86.58
Last column: magnetic moment on the atom in μB.
Fractional coordinates of all 14 atoms:
1 Pa 0.625 0.375 0.750  1.14
2 Pa 0.625 0.875 0.250  1.14
3 Pa 0.625 0.375 0.250  1.06
4 Pa 0.125 0.375 0.750  1.06
5 Te 0.866 0.104 0.238  -0.04
6 Te 0.384 0.646 0.262  -0.04
7 Te 0.866 0.629 0.762  -0.04
8 Te 0.898 0.130 0.768  -0.03
9 Te 0.362 0.130 0.232  -0.03
10 Te 0.384 0.121 0.738  -0.04
11 Te 0.352 0.620 0.732  -0.03
12 Te 0.888 0.620 0.268  -0.03
13 H 0.145 0.644 0.500  0.02
14 H 0.105 0.106 0.000  0.02



Material: UTiVGa
Method: DFT, GGA-PBE
State: relaxed

- Formation energy from the elements: 0.0239 eV/atom

a b c (Å): 4.516 4.516 4.516
angles (deg): 60.00 60.00 60.00
Fractional coordinates of all 4 atoms:
1 Ti 0.000 0.000 0.000
2 U 0.250 0.250 0.250
3 Ga 0.750 0.750 0.750
4 V 0.500 0.500 0.500



Material: Tb2NdSe4
Method: DFT, GGA-PBE
State: relaxed

- Formation energy from raw total energies: -1242 kJ/mol of formula units
- Polymorph energy (0 for the lowest one): 2.8 kJ per mole of atoms

a b c (Å): 4.153 7.181 8.216
angles (deg): 117.45 104.64 90.00
Fractional coordinates of all 7 atoms:
1 Tb 0.265 0.256 0.529
2 Tb 0.735 0.744 0.471
3 Nd 0.000 0.000 0.000
4 Se 0.128 0.805 0.256
5 Se 0.872 0.195 0.744
6 Se 0.361 0.716 0.721
7 Se 0.639 0.284 0.279



> Which formula does entry 3 have?

Tb2NdSe4